1.
Here is crystalline Li4NdAu2 at its relaxed geometry from Alexandria. Energies are from PBE.

Structure (extended XYZ):
```
14
Lattice="4.335 0.000 0.000 0.000 7.887 0.000 0.000 0.000 7.887" Properties=species:S:1:pos:R:3 pbc="T T T"
Nd 0.000 3.944 3.944
Nd 2.168 0.000 0.000
Li 0.000 2.744 0.753
Li 2.168 4.697 1.200
Li 2.168 1.200 4.697
Li 0.000 0.753 2.744
Li 2.168 3.190 6.688
Li 2.168 6.688 3.190
Li 0.000 7.134 5.143
Li 0.000 5.143 7.134
Au 2.168 2.261 2.261
Au 2.168 5.626 5.626
Au 0.000 1.682 6.205
Au 0.000 6.205 1.682
```

Output
* total magnetic moment: 0.000 μB/atom
* N(E_F): 8.88 states/eV/cell
* energy of formation from the pure elements: -0.47 eV/atom

=====

2.
Here is crystalline Li4Nd5Au4 at its relaxed geometry from Alexandria. Energies are from PBE.

Structure (extended XYZ):
```
13
Lattice="4.015 0.000 1.021 2.007 8.682 0.510 -0.132 0.000 8.925" Properties=species:S:1:pos:R:3 pbc="T T T"
Nd 3.828 5.769 1.754
Nd 1.289 0.757 3.334
Nd 4.601 7.926 7.122
Nd 0.000 0.000 0.000
Nd 2.062 2.914 8.702
Li 1.303 4.151 3.279
Li 4.587 4.531 7.177
Li 2.898 2.857 5.412
Li 2.992 5.825 5.044
Au 5.332 7.004 4.245
Au 3.601 2.801 2.647
Au 2.289 5.882 7.809
Au 0.558 1.678 6.211
```

Output
* total magnetic moment: 0.000 μB/atom
* N(E_F): 14.04 states/eV/cell
* energy of formation from the pure elements: -0.50 eV/atom

=====

3.
Here is crystalline Li4NdAu5 at its relaxed geometry from Alexandria. Energies are from PBE.

Structure (extended XYZ):
```
10
Lattice="-2.484 1.928 -1.077 1.014 -0.445 -3.134 -9.353 -12.730 -1.219" Properties=species:S:1:pos:R:3 pbc="T T T"
Au -7.119 -7.948 -2.938
Au -8.828 -10.273 -3.160
Au -3.704 -3.299 -2.493
Au -1.996 -0.974 -2.270
Au -5.412 -5.623 -2.715
Nd 0.000 0.000 0.000
Li -7.224 -9.832 -0.941
Li -3.827 -5.208 -0.499
Li -2.129 -2.898 -0.277
Li -5.526 -7.522 -0.720
```

Output
* total magnetic moment: 0.006 μB/atom
* N(E_F): 4.39 states/eV/cell
* energy of formation from the pure elements: -0.56 eV/atom

=====

4.
Here is crystalline Li2NdAu at its relaxed geometry from Alexandria. Energies are from PBE.

Structure (extended XYZ):
```
8
Lattice="4.137 -0.427 0.000 -1.524 5.430 0.000 0.000 0.000 8.199" Properties=species:S:1:pos:R:3 pbc="T T T"
Au 2.360 2.599 2.050
Au 0.252 2.404 6.149
Nd 0.062 0.601 2.050
Nd 2.551 4.402 6.149
Li 2.242 1.452 7.757
Li 0.370 3.551 3.658
Li 0.370 3.551 0.441
Li 2.242 1.452 4.540
```

Output
* total magnetic moment: 0.000 μB/atom
* N(E_F): 5.94 states/eV/cell
* energy of formation from the pure elements: -0.40 eV/atom
* ΔE to the lowest computed polymorph: 0 kJ/mol of formula units

=====

5.
Here is crystalline LiNdAu4 at its relaxed geometry from Alexandria. Energies are from PBE.

Structure (extended XYZ):
```
6
Lattice="-1.714 -5.252 0.925 0.515 -3.864 -4.023 3.759 -4.119 0.537" Properties=species:S:1:pos:R:3 pbc="T T T"
Au -0.270 -6.215 -1.866
Au 1.342 -6.342 0.401
Au 1.598 -8.262 -1.599
Au 2.450 -5.651 -2.059
Nd 0.000 0.000 0.000
Li 0.640 -3.309 -0.640
```

Output
* total magnetic moment: 0.000 μB/atom
* N(E_F): 6.18 states/eV/cell
* energy of formation from the pure elements: -0.50 eV/atom
* ΔE to the lowest computed polymorph: 30 kJ/mol of formula units

=====

6.
Here is crystalline LiNdAu3 at its relaxed geometry from Alexandria. Energies are from PBE.

Structure (extended XYZ):
```
10
Lattice="4.487 0.000 -0.013 0.000 4.251 0.000 -2.278 -2.126 10.951" Properties=species:S:1:pos:R:3 pbc="T T T"
Nd -1.138 0.000 8.915
Nd 3.346 2.126 2.024
Au 3.347 0.000 4.384
Au 1.125 0.000 0.765
Au 1.101 0.000 6.505
Au 1.108 2.126 4.434
Au -1.139 2.126 6.554
Au 1.084 2.126 10.173
Li 1.109 2.126 7.712
Li 1.099 0.000 3.226
```

Output
* total magnetic moment: 0.000 μB/atom
* N(E_F): 4.44 states/eV/cell
* energy of formation from the pure elements: -0.51 eV/atom

=====

7.
Here is crystalline Li5NdAu2 at its relaxed geometry from Alexandria. Energies are from PBE.

Structure (extended XYZ):
```
8
Lattice="3.846 0.000 1.273 1.436 6.212 2.107 -0.085 -0.392 6.703" Properties=species:S:1:pos:R:3 pbc="T T T"
Li 3.282 3.192 2.977
Li 2.720 0.751 4.676
Li 1.915 2.628 7.106
Li 0.676 2.910 4.405
Li 2.478 5.069 5.407
Au 3.855 4.466 7.692
Au 1.342 1.355 2.391
Nd 0.000 0.000 0.000
```

Output
* total magnetic moment: 0.000 μB/atom
* N(E_F): 4.43 states/eV/cell
* energy of formation from the pure elements: -0.39 eV/atom

=====

8.
Here is crystalline LiNd3Au3 at its relaxed geometry from Alexandria. Energies are from PBE.

Structure (extended XYZ):
```
7
Lattice="4.457 0.000 -0.972 -0.192 3.781 -0.878 -0.063 0.419 10.414" Properties=species:S:1:pos:R:3 pbc="T T T"
Au 2.372 2.157 0.171
Au 0.530 2.588 2.428
Au 3.710 1.653 6.307
Nd 2.982 0.841 2.970
Nd 1.188 3.322 5.444
Nd 0.036 0.040 0.164
Li 1.790 1.997 8.207
```

Output
* total magnetic moment: 0.000 μB/atom
* N(E_F): 5.40 states/eV/cell
* energy of formation from the pure elements: -0.63 eV/atom

=====

9.
Here is crystalline Li3Nd2Au2 at its relaxed geometry from Alexandria. Energies are from PBE.

Structure (extended XYZ):
```
7
Lattice="-3.063 2.984 0.702 -1.914 -4.383 -3.097 0.045 -1.675 7.309" Properties=species:S:1:pos:R:3 pbc="T T T"
Nd -4.008 -0.968 0.004
Nd -0.925 -2.106 4.909
Au -1.004 -1.185 0.657
Au -3.929 -1.889 4.256
Li -2.496 -0.065 2.759
Li -2.437 -3.009 2.155
Li -1.532 1.492 0.351
```

Output
* total magnetic moment: 0.000 μB/atom
* N(E_F): 4.13 states/eV/cell
* energy of formation from the pure elements: -0.47 eV/atom

=====

10.
Here is crystalline Li3NdAu3 at its relaxed geometry from Alexandria. Energies are from PBE.

Structure (extended XYZ):
```
14
Lattice="-0.950 -5.907 -3.075 5.271 -2.566 3.300 -4.070 -1.944 4.991" Properties=species:S:1:pos:R:3 pbc="T T T"
Nd 0.125 -5.208 2.608
Nd 0.000 0.000 0.000
Au 2.398 -2.760 0.881
Au 1.923 -5.713 -0.657
Au 1.918 -2.896 4.970
Au -0.717 -1.613 3.320
Au -1.493 -3.440 -0.290
Au -3.528 -4.411 2.206
Li 0.843 -3.595 -0.713
Li -0.417 -2.741 5.393
Li 1.618 -1.769 2.898
Li -2.273 -2.449 1.727
Li -2.748 -5.402 0.189
Li 3.478 -4.878 0.937
```

Output
* total magnetic moment: 0.000 μB/atom
* N(E_F): 4.98 states/eV/cell
* energy of formation from the pure elements: -0.18 eV/atom
* ΔE to the lowest computed polymorph: 260 kJ/mol of formula units

=====

11.
Here is crystalline Li3NdAu4 at its relaxed geometry from Alexandria. Energies are from PBE.

Structure (extended XYZ):
```
8
Lattice="-3.184 0.075 3.224 -1.403 -3.873 1.890 4.457 -0.558 7.600" Properties=species:S:1:pos:R:3 pbc="T T T"
Au 1.773 -1.961 8.168
Au -1.904 -2.395 4.547
Au -2.295 -3.527 7.372
Au 2.164 -0.829 5.342
Li -0.347 -3.296 9.291
Li -0.065 -2.178 6.357
Li 0.216 -1.060 3.423
Nd 0.000 0.000 0.000
```

Output
* total magnetic moment: 0.000 μB/atom
* N(E_F): 2.65 states/eV/cell
* energy of formation from the pure elements: -0.62 eV/atom

=====

12.
Here is crystalline LiNd4Au7 at its relaxed geometry from Alexandria. Energies are from PBE.

Structure (extended XYZ):
```
12
Lattice="-2.988 -3.670 -1.337 2.941 -7.173 4.072 -4.485 -1.875 6.125" Properties=species:S:1:pos:R:3 pbc="T T T"
Au -1.248 -10.806 5.316
Au -1.494 -1.835 -0.669
Au -5.528 -7.365 5.436
Au -1.591 -6.127 2.283
Au -2.942 -6.592 6.577
Au 0.995 -5.353 3.424
Au -3.285 -1.912 3.544
Nd -3.594 -9.500 6.973
Nd -0.939 -3.218 1.887
Nd -3.750 -5.028 4.092
Nd -0.782 -7.691 4.768
Li 0.000 0.000 0.000
```

Output
* total magnetic moment: 0.000 μB/atom
* N(E_F): 7.20 states/eV/cell
* energy of formation from the pure elements: -0.67 eV/atom

=====

Question: The lowest energy of formation from the pure elements belongs to which entry?
Answer: LiNd4Au7

=====

Question: Which of these has the highest energy of formation from the pure elements?
Answer: Li3NdAu3

=====

Question: The lowest N(E_F) belongs to which entry?
Answer: Li3NdAu4